[1]
# Sc2CdBi2

Crystalline Sc2CdBi2 at its relaxed geometry (PBE-GGA, Alexandria via LeMat-Bulk).

```
10
Lattice="-5.760 1.961 -5.483 -1.319 -7.952 -1.458 -2.707 -0.068 2.820" Properties=species:S:1:pos:R:3 pbc="T T T"
Sc -3.575 -0.523 -0.735
Bi -3.115 -6.053 -3.136
Cd 0.000 0.000 0.000
Cd -3.540 -2.995 -3.470
Bi -5.740 -3.534 -5.595
Sc -6.724 -1.160 -3.773
Sc -6.212 -5.535 -3.387
Sc -3.063 -4.898 -0.348
Bi -1.340 -2.457 -1.346
Bi -3.965 0.063 -3.805
```

## Properties
As for the energy of formation from the pure elements: -341.9 meV/atom. The value obtained for the density of states at the Fermi level is 1.14 states/eV/f.u. As for the relative energy among the computed polymorphs: 57.2 meV/atom. The calculated density comes out at 7.85 g cm⁻³.

---

[2]
# AcCuTc2O8

Crystalline AcCuTc2O8 at its relaxed geometry (PBE-GGA, Alexandria via LeMat-Bulk).

```
12
Lattice="-1.139 1.002 5.586 4.703 -3.024 -1.498 3.639 5.808 -0.300" Properties=species:S:1:pos:R:3 pbc="T T T"
O 1.466 1.556 1.439
O 5.737 2.230 2.350
Cu 1.819 2.904 -0.150
O 3.869 3.289 0.193
O 6.344 1.698 -0.585
O 0.858 2.088 4.373
Tc 1.663 1.025 3.154
O 2.850 -1.530 0.856
O 4.352 5.316 2.933
O 3.334 0.497 3.596
Tc 5.539 2.761 0.634
Ac 0.000 0.000 0.000
```

## Properties
The value obtained for the density of states at the Fermi level is 8.43 states/eV/f.u. As for the uncorrected formation energy: -1.606 eV per atom. The calculated density comes out at 5.13 g cm⁻³.

---

[3]
# CaPrPt2

Crystalline CaPrPt2 at its relaxed geometry (PBE-GGA, Alexandria via LeMat-Bulk).

```
4
Lattice="3.561 0.000 0.000 0.000 5.043 0.000 0.000 0.000 5.043" Properties=species:S:1:pos:R:3 pbc="T T T"
Ca 1.780 0.000 0.000
Pt 0.000 0.000 2.522
Pr 1.780 2.522 2.522
Pt 0.000 2.522 0.000
```

## Properties
As for the energy of formation from the pure elements: -988.9 meV/atom. The value obtained for the density of states at the Fermi level is 0.99 states/eV/f.u. The calculated density comes out at 10.47 g cm⁻³.

---

- Which of these has the lowest calculated density?
  AcCuTc2O8